Record 1
Density functional theory data (PBE) for MgBiAsW after structural relaxation.

Output
Energy above the lowest structure with this stoichiometry in meV/atom: 325.7
Space-group type: No. 216
Theoretical density in Mg/m³: 10.01

abc: 4.869 4.869 4.869
angles: 60.00 60.00 60.00
Sites, in units of the cell vectors:
As 0.250 0.250 0.250
Bi 0.500 0.500 0.500
Mg 0.750 0.750 0.750
W 0.000 0.000 0.000

Record 2
Density functional theory data (PBE) for YNpFe after structural relaxation.

Output
Energy above the lowest structure with this stoichiometry in meV/atom: 0.0
Space-group type: No. 216
Theoretical density in Mg/m³: 9.96
Energy relative to the elements in eV/f.u.: 2.36

abc: 4.482 4.482 4.482
angles: 60.00 60.00 60.00
Last column: magnetic moment on the atom in μB.
Sites, in units of the cell vectors:
Fe 0.000 0.000 0.000  -0.17
Np 0.250 0.250 0.250  0.26
Y 0.750 0.750 0.750  0.00

What raw total energy values result from the calculations? In sequence: -4.934; -8.396 eV per atom.